Below is a geometry-optimized AlCu2Si structure, with properties calculated at the PBE level.

a b c (Å): 5.960 5.960 5.960
angles (deg): 90.00 90.00 90.00
Element x y z (fractional)
Al 0.500 0.500 0.000
Al 0.500 0.000 0.500
Al 0.000 0.500 0.500
Al 0.500 0.500 0.500
Cu 0.247 0.247 0.247
Cu 0.753 0.247 0.247
Cu 0.247 0.753 0.247
Cu 0.753 0.753 0.247
Cu 0.247 0.247 0.753
Cu 0.753 0.247 0.753
Cu 0.247 0.753 0.753
Cu 0.753 0.753 0.753
Si 0.000 0.000 0.000
Si 0.500 0.000 0.000
Si 0.000 0.500 0.000
Si 0.000 0.000 0.500



Below is a geometry-optimized AlCu2Si structure, with properties calculated at the PBE level.

a b c (Å): 5.960 5.960 5.960
angles (deg): 90.00 90.00 90.00
Element x y z (fractional)
Al 0.000 0.000 0.000
Al 0.500 0.000 0.000
Al 0.000 0.500 0.000
Al 0.000 0.000 0.500
Cu 0.252 0.252 0.252
Cu 0.748 0.252 0.252
Cu 0.252 0.748 0.252
Cu 0.748 0.748 0.252
Cu 0.252 0.252 0.748
Cu 0.748 0.252 0.748
Cu 0.252 0.748 0.748
Cu 0.748 0.748 0.748
Si 0.500 0.500 0.000
Si 0.500 0.000 0.500
Si 0.000 0.500 0.500
Si 0.500 0.500 0.500



Below is a geometry-optimized Sr2AlCu4Si structure, with properties calculated at the PBE level.

a b c (Å): 4.205 4.205 10.545
angles (deg): 90.00 90.00 120.00
Element x y z (fractional)
Al 0.000 0.000 0.500
Cu 0.333 0.667 0.037
Cu 0.333 0.667 0.462
Cu 0.667 0.333 0.538
Cu 0.667 0.333 0.963
Si 0.000 0.000 0.000
Sr 0.667 0.333 0.249
Sr 0.333 0.667 0.751



Below is a geometry-optimized Tb3Al3Cu2Si structure, with properties calculated at the PBE level.

a b c (Å): 7.229 7.229 3.888
angles (deg): 90.00 90.00 120.00
Element x y z (fractional)
Al 0.750 0.000 0.500
Al 0.250 0.250 0.500
Al 0.000 0.750 0.500
Cu 0.667 0.333 0.500
Cu 0.333 0.667 0.500
Si 0.000 0.000 0.000
Tb 0.400 0.000 0.000
Tb 0.000 0.400 0.000
Tb 0.600 0.600 0.000



Below is a geometry-optimized TbY2Al3CuSi2 structure, with properties calculated at the PBE level.

a b c (Å): 4.183 6.934 6.934
angles (deg): 120.04 90.00 90.00
Element x y z (fractional)
Al 0.500 0.763 0.000
Al 0.500 0.238 0.238
Al 0.500 0.000 0.763
Cu 0.000 0.000 0.000
Si 0.500 0.667 0.333
Si 0.500 0.333 0.667
Tb 0.000 0.594 0.594
Y 0.000 0.000 0.407
Y 0.000 0.407 0.000



Below is a geometry-optimized Tb2YAl3CuSi2 structure, with properties calculated at the PBE level.

a b c (Å): 4.189 6.935 6.935
angles (deg): 119.96 90.00 90.00
Element x y z (fractional)
Al 0.500 0.237 0.000
Al 0.500 0.000 0.237
Al 0.500 0.763 0.763
Cu 0.000 0.000 0.000
Si 0.500 0.666 0.333
Si 0.500 0.333 0.666
Tb 0.000 0.000 0.594
Tb 0.000 0.594 0.000
Y 0.000 0.406 0.406



Below is a geometry-optimized Tm3Al3Cu2Si structure, with properties calculated at the PBE level.

a b c (Å): 7.118 7.118 3.846
angles (deg): 90.00 90.00 120.00
Element x y z (fractional)
Al 0.252 0.000 0.500
Al 0.000 0.252 0.500
Al 0.748 0.748 0.500
Cu 0.667 0.333 0.500
Cu 0.333 0.667 0.500
Si 0.000 0.000 0.000
Tm 0.596 0.000 0.000
Tm 0.404 0.404 0.000
Tm 0.000 0.596 0.000



Below is a geometry-optimized YAlCu2Si structure, with properties calculated at the PBE level.

a b c (Å): 5.792 5.792 5.792
angles (deg): 139.23 139.23 59.03
Element x y z (fractional)
Al 0.381 0.381 0.000
Cu 0.746 0.246 0.500
Cu 0.246 0.746 0.500
Si 0.623 0.623 0.000
Y 0.005 0.005 0.000



Below is a geometry-optimized Y3Al3Cu2Si structure, with properties calculated at the PBE level.

a b c (Å): 7.209 7.209 3.881
angles (deg): 90.00 90.00 120.00
Element x y z (fractional)
Al 0.253 0.000 0.500
Al 0.000 0.253 0.500
Al 0.747 0.747 0.500
Cu 0.667 0.333 0.500
Cu 0.333 0.667 0.500
Si 0.000 0.000 0.000
Y 0.601 0.000 0.000
Y 0.399 0.399 0.000
Y 0.000 0.601 0.000



Below is a geometry-optimized SmAl2Cu2 structure, with properties calculated at the PBE level.

a b c (Å): 5.799 5.799 5.799
angles (deg): 136.87 136.87 62.63
Element x y z (fractional)
Al 0.370 0.370 0.000
Al 0.630 0.630 0.000
Cu 0.750 0.250 0.500
Cu 0.250 0.750 0.500
Sm 0.000 0.000 0.000



Below is a geometry-optimized SmAl2Cu3 structure, with properties calculated at the PBE level.

a b c (Å): 5.308 5.308 4.001
angles (deg): 90.00 90.00 120.00
Element x y z (fractional)
Al 0.667 0.333 0.500
Al 0.333 0.667 0.500
Cu 0.500 0.000 0.000
Cu 0.000 0.500 0.000
Cu 0.500 0.500 0.000
Sm 0.000 0.000 0.500



Below is a geometry-optimized SmAl2Cu structure, with properties calculated at the PBE level.

a b c (Å): 9.078 9.078 9.078
angles (deg): 35.38 35.38 35.38
Element x y z (fractional)
Al 0.581 0.581 0.079
Al 0.921 0.419 0.419
Al 0.419 0.921 0.419
Al 0.581 0.079 0.581
Al 0.079 0.581 0.581
Al 0.419 0.419 0.921
Cu 0.335 0.335 0.335
Cu 0.500 0.500 0.500
Cu 0.665 0.665 0.665
Sm 0.000 0.000 0.000
Sm 0.142 0.142 0.142
Sm 0.858 0.858 0.858



So what do the calculations give for electronic total energy? Going down the list: -4.05 -4.05 -3.68 -4.64 -5.46 -5.25 -4.60 -5.11 -5.26 -4.29 -4.23 -4.43 eV/atom.
So what do the calculations give for mass density? Going down the list: 5714 5714 4983 6729 5126 5779 7309 5484 4781 6115 6717 5954 kg/m³.